DFT (PBE-GGA) results for KNaCd2 after structural relaxation.

a b c (Å): 11.6982 11.6982 11.6982
angles (deg): 152.80 152.80 38.85
With the nearest neighbours (Å) after each atom.
Element x y z (fractional)
1 K 0.0000 0.0000 0.0000  4 Cd 3.85, 4 Na 3.89
2 K 0.7500 0.2500 0.5000  4 Cd 3.85, 4 Na 3.89
3 Na 0.2500 0.7500 0.5000  4 Cd 3.11
4 Na 0.5000 0.5000 0.0000  4 Cd 3.11
5 Cd 0.2958 0.6250 0.1708  2 Cd 2.89, 2 Na 3.11
6 Cd 0.3750 0.5458 0.6708  2 Cd 2.89, 2 Na 3.11
7 Cd 0.4542 0.1250 0.8292  2 Cd 2.89, 2 Na 3.11
8 Cd 0.8750 0.7042 0.3292  2 Cd 2.89, 2 Na 3.11

Properties
The polymorph energy (0 for the lowest one) comes out at 0.51 eV per formula unit. As for the total magnetization: 0.000 Bohr magnetons per cell. For the total energy, the calculation gives -0.9918 eV/atom. As for the symmetry: I-42d.


DFT (PBE-GGA) results for K3Na4Cd after structural relaxation.

a b c (Å): 7.1022 13.8108 7.8706
angles (deg): 90.00 90.00 90.00
With the nearest neighbours (Å) after each atom.
Element x y z (fractional)
1 K 0.2500 0.0050 0.1671  1 Cd 3.59, 1 Na 3.94
2 K 0.2500 0.4950 0.1671  1 Cd 3.59, 1 Na 3.94
3 K 0.2500 0.7500 0.5596  2 Cd 3.68
4 K 0.7500 0.2500 0.4404  2 Cd 3.68
5 K 0.7500 0.5050 0.8329  1 Cd 3.59, 1 Na 3.94
6 K 0.7500 0.9950 0.8329  1 Cd 3.59, 1 Na 3.94
7 Na 0.0023 0.2500 0.9656  1 Cd 3.29, 2 Na 3.52-3.58
8 Na 0.2500 0.1009 0.6382  1 Cd 3.25
9 Na 0.2500 0.3991 0.6382  1 Cd 3.25
10 Na 0.4977 0.2500 0.9656  1 Cd 3.29, 2 Na 3.52-3.58
11 Na 0.5023 0.7500 0.0344  1 Cd 3.29, 2 Na 3.52-3.58
12 Na 0.7500 0.6009 0.3618  1 Cd 3.25
13 Na 0.7500 0.8991 0.3618  1 Cd 3.25
14 Na 0.9977 0.7500 0.0344  1 Cd 3.29, 2 Na 3.52-3.58
15 Cd 0.2500 0.2500 0.3195  4 Na 3.25-3.29, 2 K 3.59
16 Cd 0.7500 0.7500 0.6805  4 Na 3.25-3.29, 2 K 3.59

Properties
The polymorph energy (0 for the lowest one) comes out at 0.13 eV per formula unit. As for the total magnetization: 0.000 Bohr magnetons per cell. For the total energy, the calculation gives -1.1648 eV/atom. As for the symmetry: Pmmn.


DFT (PBE-GGA) results for K2Na5Cd3 after structural relaxation.

a b c (Å): 10.4330 10.4330 6.7231
angles (deg): 97.13 97.13 98.96
With the nearest neighbours (Å) after each atom.
Element x y z (fractional)
1 K 0.1079 0.6684 0.9416  3 Cd 3.61-3.74, 4 Na 3.73-3.99
2 K 0.3316 0.8921 0.5584  3 Cd 3.61-3.74, 4 Na 3.73-3.99
3 K 0.6684 0.1079 0.4416  3 Cd 3.61-3.74, 4 Na 3.73-3.99
4 K 0.8921 0.3316 0.0584  3 Cd 3.61-3.74, 4 Na 3.73-3.99
5 Na 0.0011 0.9989 0.7500  2 Na 3.36, 4 Cd 3.37-3.40
6 Na 0.2221 0.5298 0.4499  1 Na 3.30, 4 Cd 3.31-3.40
7 Na 0.2436 0.3188 0.9461  4 Cd 3.22-3.51, 3 Na 3.30-3.57
8 Na 0.3188 0.2436 0.4461  4 Cd 3.22-3.51, 3 Na 3.30-3.57
9 Na 0.4702 0.7779 0.0501  1 Na 3.30, 4 Cd 3.31-3.40
10 Na 0.5298 0.2221 0.9499  1 Na 3.30, 4 Cd 3.31-3.40
11 Na 0.6812 0.7564 0.5539  4 Cd 3.22-3.51, 3 Na 3.30-3.57
12 Na 0.7564 0.6812 0.0539  4 Cd 3.22-3.51, 3 Na 3.30-3.57
13 Na 0.7779 0.4702 0.5501  1 Na 3.30, 4 Cd 3.31-3.40
14 Na 0.9989 0.0011 0.2500  2 Na 3.36, 4 Cd 3.37-3.40
15 Cd 0.0152 0.2863 0.5658  6 Na 3.22-3.44
16 Cd 0.2863 0.0152 0.0658  6 Na 3.22-3.44
17 Cd 0.4983 0.5017 0.7500  8 Na 3.32-3.51, 2 Cd 3.36
18 Cd 0.5017 0.4983 0.2500  8 Na 3.32-3.51, 2 Cd 3.36
19 Cd 0.7137 0.9848 0.9342  6 Na 3.22-3.44
20 Cd 0.9848 0.7137 0.4342  6 Na 3.22-3.44

Properties
As for the total magnetization: 0.000 Bohr magnetons per cell. For the total energy, the calculation gives -1.1745 eV/atom. As for the symmetry: C2/c.


DFT (PBE-GGA) results for KNa3Cd8 after structural relaxation.

a b c (Å): 6.0806 6.0806 9.9095
angles (deg): 90.00 90.00 120.00
With the nearest neighbours (Å) after each atom.
Element x y z (fractional)
1 K 0.0000 0.0000 0.0000  12 Cd 3.57-3.60, 4 Na 3.74-3.77
2 Na 0.0000 0.0000 0.3805  12 Cd 3.46-3.56, 3 Na 3.71, 1 K 3.77
3 Na 0.6667 0.3333 0.5008  12 Cd 3.49-3.57, 4 Na 3.66-3.71
4 Na 0.6667 0.3333 0.8698  12 Cd 3.56-3.64, 1 Na 3.66, 3 K 3.74
5 Cd 0.1635 0.3270 0.6834  6 Cd 2.98-3.10
6 Cd 0.1635 0.8365 0.6834  6 Cd 2.98-3.10
7 Cd 0.3333 0.6667 0.4371  6 Cd 3.01-3.03
8 Cd 0.3333 0.6667 0.9371  6 Cd 3.08-3.11
9 Cd 0.5040 0.0079 0.1938  6 Cd 2.97-3.11
10 Cd 0.5040 0.4960 0.1938  6 Cd 2.97-3.11
11 Cd 0.6730 0.8365 0.6834  6 Cd 2.98-3.10
12 Cd 0.9921 0.4960 0.1938  6 Cd 2.97-3.11

Properties
The polymorph energy (0 for the lowest one) comes out at 0.00 eV per formula unit. As for the total magnetization: 0.000 Bohr magnetons per cell. For the total energy, the calculation gives -1.1511 eV/atom. As for the symmetry: P3m1.


DFT (PBE-GGA) results for KNa3Cd8 after structural relaxation.

a b c (Å): 10.7466 10.7466 10.7466
angles (deg): 32.66 32.66 32.66
With the nearest neighbours (Å) after each atom.
Element x y z (fractional)
1 K 0.0000 0.0000 0.0000  12 Cd 3.55-3.66, 4 Na 3.74-3.87
2 Na 0.1268 0.1268 0.1268  12 Cd 3.54-3.56, 3 Na 3.70, 1 K 3.87
3 Na 0.5002 0.5002 0.5002  12 Cd 3.55-3.56, 4 Na 3.70-3.73
4 Na 0.6225 0.6225 0.6225  12 Cd 3.55-3.76, 1 Na 3.73, 3 K 3.74
5 Cd 0.0625 0.0625 0.5587  6 Cd 3.00-3.10
6 Cd 0.0625 0.5587 0.0625  6 Cd 3.00-3.10
7 Cd 0.0663 0.5645 0.5645  6 Cd 3.01-3.15
8 Cd 0.3124 0.3124 0.3124  6 Cd 3.10-3.15
9 Cd 0.5587 0.0625 0.0625  6 Cd 3.00-3.10
10 Cd 0.5645 0.0663 0.5645  6 Cd 3.01-3.15
11 Cd 0.5645 0.5645 0.0663  6 Cd 3.01-3.15
12 Cd 0.8129 0.8129 0.8129  6 Cd 3.03-3.05

Properties
The polymorph energy (0 for the lowest one) comes out at 0.09 eV per formula unit. As for the total magnetization: 0.000 Bohr magnetons per cell. For the total energy, the calculation gives -1.1439 eV/atom. As for the symmetry: R3m.


DFT (PBE-GGA) results for KNaCd2 after structural relaxation.

a b c (Å): 5.7254 5.7254 5.7254
angles (deg): 60.00 60.00 60.00
With the nearest neighbours (Å) after each atom.
Element x y z (fractional)
1 K 0.0000 0.0000 0.0000  8 Cd 3.51
2 Na 0.5000 0.5000 0.5000  8 Cd 3.51
3 Cd 0.2500 0.2500 0.2500  4 Na 3.51, 4 K 3.51
4 Cd 0.7500 0.7500 0.7500  4 Na 3.51, 4 K 3.51

Properties
The polymorph energy (0 for the lowest one) comes out at 0.21 eV per formula unit. As for the total magnetization: 0.000 Bohr magnetons per cell. For the total energy, the calculation gives -1.0656 eV/atom. As for the symmetry: Fm-3m.


DFT (PBE-GGA) results for KNa2Cd10 after structural relaxation.

a b c (Å): 10.3536 8.1540 7.7722
angles (deg): 81.06 51.08 47.86
With the nearest neighbours (Å) after each atom.
Element x y z (fractional)
1 K 0.0000 0.0000 0.0000  16 Cd 3.70-3.89, 4 Na 4.08
2 Na 0.0000 0.5000 0.0000  8 Cd 3.08-3.26, 2 Na 3.14
3 Na 0.5000 0.0000 0.5000  8 Cd 3.08-3.26, 2 Na 3.14
4 Cd 0.0000 0.0000 0.5000  10 Cd 3.03-3.19
5 Cd 0.0107 0.6424 0.3576  4 Cd 2.97-3.19, 2 Na 3.26
6 Cd 0.2880 0.5005 0.4995  5 Cd 3.02-3.18, 2 Na 3.08
7 Cd 0.3576 0.9893 0.0107  4 Cd 2.97-3.19, 2 Na 3.26
8 Cd 0.4995 0.7120 0.2880  5 Cd 3.02-3.18, 2 Na 3.08
9 Cd 0.5000 0.5000 0.0000  10 Cd 3.03-3.19
10 Cd 0.5005 0.2880 0.7120  5 Cd 3.02-3.18, 2 Na 3.08
11 Cd 0.6424 0.0107 0.9893  4 Cd 2.97-3.19, 2 Na 3.26
12 Cd 0.7120 0.4995 0.5005  5 Cd 3.02-3.18, 2 Na 3.08
13 Cd 0.9893 0.3576 0.6424  4 Cd 2.97-3.19, 2 Na 3.26

Properties
As for the total magnetization: 0.000 Bohr magnetons per cell. For the total energy, the calculation gives -1.0192 eV/atom. As for the symmetry: Fmmm.


DFT (PBE-GGA) results for K2Na6Cd after structural relaxation.

a b c (Å): 4.1853 10.8096 10.8096
angles (deg): 127.63 90.00 90.00
With the nearest neighbours (Å) after each atom.
Element x y z (fractional)
1 K 0.0000 0.1916 0.8084  6 Na 3.82-4.14, 2 K 4.19
2 K 0.0000 0.8084 0.1916  6 Na 3.82-4.14, 2 K 4.19
3 Na 0.0000 0.2546 0.4670  2 Cd 3.19
4 Na 0.0000 0.4670 0.2546  2 Cd 3.19
5 Na 0.0000 0.7639 0.7639  2 Cd 3.34, 4 Na 3.64
6 Na 0.5000 0.1167 0.1167  1 Cd 3.58, 6 Na 3.75-3.96
7 Na 0.5000 0.5134 0.8026  1 Cd 3.22, 2 Na 3.60
8 Na 0.5000 0.8026 0.5134  1 Cd 3.22, 2 Na 3.60
9 Cd 0.5000 0.4915 0.4915  8 Na 3.19-3.34

Properties
The polymorph energy (0 for the lowest one) comes out at 0.10 eV per formula unit. As for the total magnetization: 0.000 Bohr magnetons per cell. For the total energy, the calculation gives -1.2040 eV/atom. As for the symmetry: Amm2.